This record from Alexandria describes crystalline Y2Zn15Tc2 at its relaxed geometry. The functional is PBE-GGA.

Cell lengths 6.7658, 6.7658, 6.7658 Å; angles 83.42, 83.42, 83.42 degrees
Last column: nearest neighbours and their distance in Å.
Element x y z (fractional)
Y 0.3396 0.3396 0.3396  18 Zn 3.21-3.46, 1 Tc 3.22
Y 0.6604 0.6604 0.6604  18 Zn 3.21-3.46, 1 Tc 3.22
Zn 0.0000 0.5000 0.0000  8 Zn 2.55-2.60, 2 Tc 2.78
Zn 0.0000 0.0000 0.5000  8 Zn 2.55-2.60, 2 Tc 2.78
Zn 0.5000 0.0000 0.0000  8 Zn 2.55-2.60, 2 Tc 2.78
Zn 0.7085 0.0000 0.2915  8 Zn 2.55-2.72
Zn 0.2915 0.7085 0.0000  8 Zn 2.55-2.72
Zn 0.0000 0.2915 0.7085  8 Zn 2.55-2.72
Zn 0.7085 0.2915 0.0000  8 Zn 2.55-2.72
Zn 0.0000 0.7085 0.2915  8 Zn 2.55-2.72
Zn 0.2915 0.0000 0.7085  8 Zn 2.55-2.72
Zn 0.6517 0.1508 0.6517  8 Zn 2.60-2.72, 1 Tc 2.85
Zn 0.6517 0.6517 0.1508  8 Zn 2.60-2.72, 1 Tc 2.85
Zn 0.1508 0.6517 0.6517  8 Zn 2.60-2.72, 1 Tc 2.85
Zn 0.3483 0.8492 0.3483  8 Zn 2.60-2.72, 1 Tc 2.85
Zn 0.3483 0.3483 0.8492  8 Zn 2.60-2.72, 1 Tc 2.85
Zn 0.8492 0.3483 0.3483  8 Zn 2.60-2.72, 1 Tc 2.85
Tc 0.0918 0.0918 0.0918  1 Tc 2.39
Tc 0.9082 0.9082 0.9082  1 Tc 2.39

Results
Uncorrected energy = -2.959 eV per atom
ΔH_f (0 K) = -0.182 eV per atom
Total magnetization = 0.00 Bohr magnetons per cell
SG = R-3m
Calculated volume = 16.0 Å³ per atom

***

This record from Alexandria describes crystalline Y2ZnTc at its relaxed geometry. The functional is PBE-GGA.

Cell lengths 3.5163, 3.5295, 7.8452 Å; angles 63.37, 90.00, 90.00 degrees
Last column: nearest neighbours and their distance in Å.
Element x y z (fractional)
Y 0.0000 0.0167 0.9829  4 Tc 2.98, 4 Zn 3.12, 1 Y 3.27
Y 0.0000 0.4833 0.5171  4 Tc 2.98, 4 Zn 3.12, 1 Y 3.27
Zn 0.5000 0.2500 0.2500  8 Y 3.12
Tc 0.5000 0.7500 0.7500  8 Y 2.98

Results
Uncorrected energy = -6.296 eV per atom
ΔH_f (0 K) = -0.154 eV per atom
Total magnetization = 0.00 Bohr magnetons per cell
SG = P2/m
Calculated volume = 21.8 Å³ per atom

***

This record from Alexandria describes crystalline Y2ZnTc at its relaxed geometry. The functional is PBE-GGA.

Cell lengths 4.3632, 3.8649, 5.7275 Å; angles 70.29, 90.00, 90.00 degrees
Last column: nearest neighbours and their distance in Å.
Element x y z (fractional)
Tc 0.5000 0.5580 0.7594  2 Zn 2.62
Y 0.0000 0.9808 0.9135  3 Zn 2.99-3.11, 4 Tc 3.03
Y 0.5000 0.2688 0.3374  3 Tc 2.99-3.12, 4 Zn 3.03
Zn 0.0000 0.6925 0.4897  2 Tc 2.62

Results
Uncorrected energy = -6.259 eV per atom
ΔH_f (0 K) = -0.117 eV per atom
Total magnetization = 0.00 Bohr magnetons per cell
SG = Amm2
Calculated volume = 22.7 Å³ per atom

***

This record from Alexandria describes crystalline YZnTc2 at its relaxed geometry. The functional is PBE-GGA.

Cell lengths 4.1382, 4.1382, 9.8451 Å; angles 77.87, 77.87, 90.00 degrees
Last column: nearest neighbours and their distance in Å.
Element x y z (fractional)
Y 0.0000 0.0000 0.0000  4 Zn 2.93, 4 Tc 2.96
Y 0.7500 0.2500 0.5000  4 Zn 2.93, 4 Tc 2.96
Zn 0.5000 0.5000 0.0000  4 Tc 2.64, 4 Y 2.93
Zn 0.2500 0.7500 0.5000  4 Tc 2.64, 4 Y 2.93
Tc 0.5206 0.1250 0.2500  2 Tc 2.39, 2 Zn 2.64
Tc 0.2294 0.6250 0.2500  2 Tc 2.39, 2 Zn 2.64
Tc 0.3750 0.4794 0.7500  2 Tc 2.39, 2 Zn 2.64
Tc 0.8750 0.7706 0.7500  2 Tc 2.39, 2 Zn 2.64

Results
Uncorrected energy = -6.751 eV per atom
ΔH_f (0 K) = 0.367 eV per atom
Total magnetization = 0.00 Bohr magnetons per cell
SG = I-42d
Calculated volume = 20.1 Å³ per atom

***

- Which of these has the highest ΔH_f (0 K)?
  YZnTc2